Entry 1:
A geometry-optimized ErUH2 structure. Source: the Alexandria database, functional PBE-GGA.

Cell: 6.3924 6.3924 6.3924 Å, 30.65 30.65 30.65°
Sites, in units of the cell vectors:
Er 0.0000 0.0000 0.0000
U 0.5000 0.5000 0.5000
H 0.3792 0.3792 0.3792
H 0.6208 0.6208 0.6208

Computed properties:
- E_tot (eV per atom) = -5.839
- density of states at the Fermi level (states/eV/atom) = 1.16
- M_tot (μB/cell) = 2.5
- SG = R-3m


Entry 2:
A geometry-optimized BaBeRe2 structure. Source: the Alexandria database, functional PBE-GGA.

Cell: 9.2179 9.2179 9.2179 Å, 150.22 150.22 42.61°
Sites, in units of the cell vectors:
Ba 0.0000 0.0000 0.0000
Ba 0.7500 0.2500 0.5000
Be 0.2500 0.7500 0.5000
Be 0.5000 0.5000 0.0000
Re 0.3293 0.6250 0.2043
Re 0.3750 0.5793 0.7043
Re 0.4207 0.1250 0.7957
Re 0.8750 0.6707 0.2957

Computed properties:
- DFT formation energy (eV per atom) = 1.11
- density of states at the Fermi level (states/eV/atom) = 1.42
- M_tot (μB/cell) = 0.0
- SG = I-42d


Entry 3:
A geometry-optimized TbNd2DySe4 structure. Source: the Alexandria database, functional PBE-GGA.

Cell: 7.1446 4.0927 7.3428 Å, 90.00 108.68 90.00°
Sites, in units of the cell vectors:
Tb 0.0000 0.0000 0.0000
Nd 0.0000 0.5000 0.5000
Nd 0.5000 0.0000 0.5000
Dy 0.5000 0.5000 0.0000
Se 0.2463 0.5000 0.2366
Se 0.2558 0.0000 0.7640
Se 0.7442 0.0000 0.2360
Se 0.7537 0.5000 0.7634

Computed properties:
- raw formation energy (eV/atom) = -1.803
- density of states at the Fermi level (states/eV/atom) = 0.53
- M_tot (μB/cell) = 0.0
- SG = P2/m


Entry 4:
A geometry-optimized KRbPuBr6 structure. Source: the Alexandria database, functional PBE-GGA.

Cell: 8.1294 8.1294 13.7943 Å, 90.00 90.00 120.00°
Sites, in units of the cell vectors:
K 0.3333 0.6667 0.2500
K 0.6667 0.3333 0.7500
Rb 0.0000 0.0000 0.0000
Rb 0.0000 0.0000 0.5000
Pu 0.3333 0.6667 0.7500
Pu 0.6667 0.3333 0.2500
Br 0.0520 0.3915 0.6337
Br 0.0520 0.6604 0.8663
Br 0.3396 0.3915 0.8663
Br 0.3396 0.9480 0.6337
Br 0.3915 0.0520 0.1337
Br 0.3915 0.3396 0.3663
Br 0.6085 0.6604 0.6337
Br 0.6085 0.9480 0.8663
Br 0.6604 0.0520 0.3663
Br 0.6604 0.6085 0.1337
Br 0.9480 0.3396 0.1337
Br 0.9480 0.6085 0.3663

Computed properties:
- raw formation energy (eV/atom) = -1.533
- density of states at the Fermi level (states/eV/atom) = 0.64
- M_tot (μB/cell) = 8.0
- SG = P-31c


Entry 5:
A geometry-optimized Li3RhF structure. Source: the Alexandria database, functional PBE-GGA.

Cell: 3.9087 3.9087 3.9087 Å, 90.00 90.00 90.00°
Sites, in units of the cell vectors:
Li 0.0000 0.0000 0.5000
Li 0.0000 0.5000 0.0000
Li 0.5000 0.0000 0.0000
Rh 0.5000 0.5000 0.5000
F 0.0000 0.0000 0.0000

Computed properties:
- raw formation energy (eV/atom) = -0.954
- density of states at the Fermi level (states/eV/atom) = 0.36
- M_tot (μB/cell) = 0.0
- SG = Pm-3m


Entry 6:
A geometry-optimized TiIn2I4F2 structure. Source: the Alexandria database, functional PBE-GGA.

Cell: 7.0599 7.0599 6.7392 Å, 95.31 95.31 72.31°
Sites, in units of the cell vectors:
Ti 0.0000 0.0000 0.0000
In 0.3450 0.3450 0.1188
In 0.6550 0.6550 0.8812
I 0.1286 0.6527 0.7490
I 0.3473 0.8714 0.2510
I 0.6527 0.1286 0.7490
I 0.8714 0.3473 0.2510
F 0.1316 0.1316 0.8639
F 0.8684 0.8684 0.1361

Computed properties:
- raw formation energy (eV/atom) = -1.298
- M_tot (μB/cell) = 0.0
- SG = C2/m


Entry 7:
A geometry-optimized BaMgTl2S structure. Source: the Alexandria database, functional PBE-GGA.

Cell: 6.7681 6.7681 5.7470 Å, 90.00 90.00 90.00°
Sites, in units of the cell vectors:
Ba 0.0000 0.0000 0.0000
Mg 0.5000 0.5000 0.5000
Tl 0.0000 0.5000 0.0000
Tl 0.5000 0.0000 0.0000
S 0.0000 0.0000 0.5000

Computed properties:
- raw formation energy (eV/atom) = 0.272
- density of states at the Fermi level (states/eV/atom) = 0.56
- M_tot (μB/cell) = 0.0
- SG = P4/mmm


Entry 8:
A geometry-optimized Ac2Pb structure. Source: the Alexandria database, functional PBE-GGA.

Cell: 8.8869 5.0489 10.7478 Å, 90.00 90.00 90.00°
Sites, in units of the cell vectors:
Ac 0.0403 0.2500 0.1690
Ac 0.1376 0.2500 0.5638
Ac 0.3624 0.7500 0.0638
Ac 0.4597 0.7500 0.6690
Ac 0.5403 0.2500 0.3310
Ac 0.6376 0.2500 0.9362
Ac 0.8624 0.7500 0.4362
Ac 0.9597 0.7500 0.8310
Pb 0.2421 0.2500 0.8668
Pb 0.2579 0.7500 0.3668
Pb 0.7421 0.2500 0.6332
Pb 0.7579 0.7500 0.1332

Computed properties:
- DFT formation energy (eV per atom) = -0.37
- density of states at the Fermi level (states/eV/atom) = 1.14
- M_tot (μB/cell) = 6.1
- SG = Pnma


Entry 9:
A geometry-optimized CaTcPI2 structure. Source: the Alexandria database, functional PBE-GGA.

Cell: 5.5235 5.5235 5.5360 Å, 90.00 90.00 90.00°
Sites, in units of the cell vectors:
Ca 0.0000 0.0000 0.0000
Tc 0.5000 0.5000 0.0000
P 0.0000 0.0000 0.5000
I 0.0000 0.5000 0.5000
I 0.5000 0.0000 0.5000

Computed properties:
- raw formation energy (eV/atom) = 0.789
- density of states at the Fermi level (states/eV/atom) = 0.86
- M_tot (μB/cell) = 4.5
- SG = P4/mmm


Entry 10:
A geometry-optimized CdFe2Re structure. Source: the Alexandria database, functional PBE-GGA.

Cell: 5.2608 5.2608 5.2608 Å, 148.91 129.59 60.42°
Sites, in units of the cell vectors:
Cd 0.0000 0.0000 0.0000
Fe 0.2647 0.7647 0.5000
Fe 0.4825 0.4825 0.0000
Re 0.7194 0.2194 0.5000

Computed properties:
- DFT formation energy (eV per atom) = 0.42
- density of states at the Fermi level (states/eV/atom) = 0.99
- M_tot (μB/cell) = 4.4
- SG = Imm2


Entry 11:
A geometry-optimized PmPr3Tm6 structure. Source: the Alexandria database, functional PBE-GGA.

Cell: 6.9051 6.9051 6.9051 Å, 91.52 91.52 91.52°
Sites, in units of the cell vectors:
Pm 0.0000 0.0000 0.0000
Pr 0.2492 0.2492 0.2492
Pr 0.5000 0.5000 0.5000
Pr 0.7508 0.7508 0.7508
Tm 0.0764 0.7507 0.4216
Tm 0.2493 0.5784 0.9236
Tm 0.4216 0.0764 0.7507
Tm 0.5784 0.9236 0.2493
Tm 0.7507 0.4216 0.0764
Tm 0.9236 0.2493 0.5784

Computed properties:
- DFT formation energy (eV per atom) = 0.32
- density of states at the Fermi level (states/eV/atom) = 2.05
- M_tot (μB/cell) = 0.0
- SG = R-3


Entry 12:
A geometry-optimized LiTm4Ni2 structure. Source: the Alexandria database, functional PBE-GGA.

Cell: 6.9393 6.9501 7.0807 Å, 102.07 101.96 95.46°
Sites, in units of the cell vectors:
Li 0.0000 0.0000 0.0000
Li 0.0438 0.9619 0.5077
Tm 0.1736 0.6177 0.7591
Tm 0.3176 0.3075 0.4005
Tm 0.3319 0.1681 0.8852
Tm 0.3777 0.8147 0.2317
Tm 0.6820 0.6949 0.6123
Tm 0.7731 0.2313 0.7599
Tm 0.7843 0.2303 0.2558
Tm 0.8370 0.6742 0.1276
Ni 0.1097 0.4229 0.0727
Ni 0.5165 0.4934 0.8263
Ni 0.5216 0.4803 0.1967
Ni 0.5836 0.8995 0.9418

Computed properties:
- DFT formation energy (eV per atom) = -0.16
- density of states at the Fermi level (states/eV/atom) = 0.96
- M_tot (μB/cell) = 0.0
- SG = P1